1.
{
  "formula": "NaY2H",
  "functional": "PBE",
  "state": "relaxed",
  "lattice": [[-0.8148, 3.1157, -1.4965], [-2.5233, 2.0501, 1.4287], [5.4961, 6.0640, 5.4193]],
  "species": ["Y", "Y", "Na", "H"],
  "frac_coords": [[0.1204, 0.1204, 0.6387], [0.8796, 0.8796, 0.3613], [0.0000, 0.0000, 0.0000], [0.5000, 0.5000, 0.5000]],
  "dos_ef_per_ev_atom": 0.754,
  "e_above_lowest_polymorph_ev_per_fu": 0.00
}

2.
{
  "formula": "La2BeW",
  "functional": "PBE",
  "state": "relaxed",
  "lattice": [[-5.7510, -6.8129, 2.0919], [-4.2343, -6.1619, 5.2883], [-7.0090, -4.1621, 4.1732]],
  "species": ["Be", "W", "La", "La"],
  "frac_coords": [[0.7500, 0.7500, 0.7500], [0.2500, 0.2500, 0.2500], [0.9981, 0.9981, 0.9981], [0.5019, 0.5019, 0.5019]],
  "dos_ef_per_ev_atom": 1.124,
  "energy_ev_per_atom": -5.71
}

3.
{
  "formula": "Ag2PtW",
  "functional": "PBE",
  "state": "relaxed",
  "lattice": [[-0.4600, -2.4831, -1.0945], [1.4716, 1.7242, -1.5611], [8.2588, -3.3369, 4.0998]],
  "species": ["Ag", "Ag", "W", "Pt"],
  "frac_coords": [[0.0000, 0.0000, 0.0018], [0.0000, 0.0000, 0.4982], [0.5000, 0.5000, 0.7500], [0.5000, 0.5000, 0.2500]],
  "dos_ef_per_ev_atom": 0.750,
  "e_above_lowest_polymorph_ev_per_fu": 0.94
}

4.
{
  "formula": "CaTmZr",
  "functional": "PBE",
  "state": "relaxed",
  "lattice": [[3.4221, 0.0000, 0.0000], [0.0000, 3.4221, 0.0000], [-1.7110, -1.7110, 7.6915]],
  "species": ["Ca", "Tm", "Zr"],
  "frac_coords": [[0.0073, 0.0073, 0.0146], [0.3148, 0.3148, 0.6296], [0.6779, 0.6779, 0.3558]],
  "dos_ef_per_ev_atom": 1.048,
  "e_above_lowest_polymorph_ev_per_fu": 0.09
}

Copy entry 3 word for word.
{
  "formula": "Ag2PtW",
  "functional": "PBE",
  "state": "relaxed",
  "lattice": [[-0.4600, -2.4831, -1.0945], [1.4716, 1.7242, -1.5611], [8.2588, -3.3369, 4.0998]],
  "species": ["Ag", "Ag", "W", "Pt"],
  "frac_coords": [[0.0000, 0.0000, 0.0018], [0.0000, 0.0000, 0.4982], [0.5000, 0.5000, 0.7500], [0.5000, 0.5000, 0.2500]],
  "dos_ef_per_ev_atom": 0.750,
  "e_above_lowest_polymorph_ev_per_fu": 0.94
}